# KCrAg

An optimized crystal structure of KCrAg (PBE, Alexandria).

It has space group F-43m (No. 216), with a = 7.273 Å, b = 7.273 Å, c = 7.273 Å, α = 90.00°, β = 90.00° and γ = 90.00°. The distinct sites, in fractional coordinates, are K at (0.000, 0.000, 0.000), Cr at (0.000, 0.000, 0.500) and Ag at (0.250, 0.250, 0.750).

For the total magnetization, the calculation gives 5.2 μB/f.u. The value obtained for the formation energy is 0.891 eV/atom. For the total energy, the calculation gives -10.90 eV/f.u.